(1)
NdAlRh | PBE | relaxed

## Properties
- Formation enthalpy at 0 K: -678.7 meV per atom

Structure (POSCAR):
```
NdAlRh
1.0
4.077 0.000 0.000
0.000 4.321 0.000
0.000 -2.160 3.742
Rh Nd Al
1 1 1
direct
0.167 0.667 0.333
0.666 0.333 0.667
0.166 0.000 0.000
```

=====

(2)
SrCr2Se | PBE | relaxed

## Properties
- Raw formation energy: 1.15 eV per formula unit

Structure (POSCAR):
```
SrCr2Se
1.0
-2.372 0.119 -3.616
-3.559 -0.857 2.306
-0.812 5.272 0.707
Cr Se Sr
2 1 1
direct
0.000 0.000 0.000
0.500 0.500 0.000
0.500 0.000 0.500
0.000 0.500 0.500
```

=====

| no. | density of states at the Fermi level (states/eV per cell) | total energy (eV/atom) |
| --- | --- | --- |
| 1 | 3.09 | -5.9660 |
| 2 | 1.59 | -5.8159 |